First-principles (PBE) data for MgZnCr2 after structural relaxation, as listed in Alexandria.

Geometry as CIF:
```
data_MgZnCr2
_chemical_formula_sum 'Mg1 Zn1 Cr2'
_cell_length_a 3.2360
_cell_length_b 4.1078
_cell_length_c 4.4894
_cell_angle_alpha 90.00
_cell_angle_beta 90.00
_cell_angle_gamma 90.00
_symmetry_space_group_name_H-M 'P m m m'
_symmetry_Int_Tables_number 47
loop_
_symmetry_equiv_pos_as_xyz
'x,y,z'
'-x,-y,-z'
'-x,-y,z'
'x,y,-z'
'x,-y,-z'
'-x,y,z'
'-x,y,-z'
'x,-y,z'
loop_
_atom_site_label
_atom_site_fract_x
_atom_site_fract_y
_atom_site_fract_z
Mg1 0.0000 0.0000 0.0000
Zn1 0.5000 0.5000 0.0000
Cr1 0.0000 0.5000 0.5000
Cr2 0.5000 0.0000 0.5000
```

Computed properties:
The calculation puts the formation energy at 279 meV/atom.

=====

First-principles (PBE) data for MgZn2Cr after structural relaxation, as listed in Alexandria.

Geometry as CIF:
```
data_MgZn2Cr
_chemical_formula_sum 'Mg1 Zn2 Cr1'
_cell_length_a 2.9686
_cell_length_b 4.2738
_cell_length_c 5.3506
_cell_angle_alpha 90.00
_cell_angle_beta 105.94
_cell_angle_gamma 90.00
_symmetry_space_group_name_H-M 'P 1 m 1'
_symmetry_Int_Tables_number 6
loop_
_symmetry_equiv_pos_as_xyz
'x,y,z'
'x,-y,z'
loop_
_atom_site_label
_atom_site_fract_x
_atom_site_fract_y
_atom_site_fract_z
Mg1 0.0000 0.0000 0.0000
Zn1 0.6054 0.5000 0.2127
Zn2 0.7391 0.0000 0.4874
Cr1 0.3330 0.5000 0.6733
```

Computed properties:
The calculation puts the formation energy at 131 meV/atom.

=====

First-principles (PBE) data for Mg2ZnCr after structural relaxation, as listed in Alexandria.

Geometry as CIF:
```
data_Mg2ZnCr
_chemical_formula_sum 'Mg8 Zn4 Cr4'
_cell_length_a 7.5891
_cell_length_b 7.5891
_cell_length_c 5.5921
_cell_angle_alpha 90.00
_cell_angle_beta 90.00
_cell_angle_gamma 90.00
_symmetry_space_group_name_H-M 'I -4 2 d'
_symmetry_Int_Tables_number 122
_symmetry_space_group_name_Hall 'I -4 2bw'
loop_
_atom_site_label
_atom_site_fract_x
_atom_site_fract_y
_atom_site_fract_z
Mg1 0.2295 0.7500 0.1250
Zn1 0.0000 0.0000 0.0000
Cr1 0.0000 0.0000 0.5000
```

Computed properties:
The calculation puts the formation energy at 487 meV/atom.